(1)
CsTcP2Pt: optimized geometry, PBE.

Structure (POSCAR):
```
CsTcP2Pt
1.0
4.614 0.000 0.000
0.000 4.614 0.000
0.000 0.000 5.934
Cs Tc P Pt
1 1 2 1
Direct
0.000 0.000 0.000
0.500 0.500 0.000
0.000 0.500 0.500
0.500 0.000 0.500
0.000 0.000 0.500
```

Calculated values
- space-group type = P4/mmm (123)
- density of states at the Fermi level (states/eV per atom) = 1.151
- volume (A^3/atom) = 25.266

(2)
CsTcP2Pt: optimized geometry, PBE.

Structure (POSCAR):
```
CsTcP2Pt
1.0
5.292 0.000 0.000
0.000 5.292 0.000
0.000 0.000 5.198
Cs Tc P Pt
1 1 2 1
Direct
0.000 0.000 0.000
0.500 0.500 0.500
0.000 0.500 0.000
0.500 0.000 0.000
0.000 0.000 0.500
```

Calculated values
- space-group type = P4/mmm (123)
- density of states at the Fermi level (states/eV per atom) = 0.743
- volume (A^3/atom) = 29.117

The structure with the most favorable energy is (1); the runner-up is 1.290 eV/atom above it.